Density functional theory data (PBE) for a geometry-optimized Re2AuBr structure.

Computed properties:
ΔE to the lowest computed polymorph   1.282 eV/f.u.
Space-group type   No. 44
Formation energy from raw total energies   0.9968 eV per atom

Lattice parameters (Å, degrees): 5.976 5.976 5.976 152.56 132.93 55.35
Sites, in units of the cell vectors:
Re 0.000 0.000 0.000
Re 0.802 0.302 0.500
Au 0.537 0.537 0.000
Br 0.242 0.742 0.500

Density functional theory data (PBE) for a geometry-optimized YTa2Os structure.

Computed properties:
ΔE to the lowest computed polymorph   1.288 eV/f.u.
Space-group type   No. 139
Formation energy   0.323 eV per atom

Lattice parameters (Å, degrees): 5.653 5.653 5.653 138.96 138.96 59.44
Sites, in units of the cell vectors:
Y 0.000 0.000 0.000
Ta 0.250 0.750 0.500
Ta 0.750 0.250 0.500
Os 0.500 0.500 0.000

Density functional theory data (PBE) for a geometry-optimized Ga2BPF structure.

Computed properties:
Space-group type   No. 123
Formation energy from raw total energies   0.1829 eV per atom

Lattice parameters (Å, degrees): 5.414 5.414 3.434 90.00 90.00 90.00
Sites, in units of the cell vectors:
Ga 0.000 0.500 0.000
Ga 0.500 0.000 0.000
B 0.000 0.000 0.500
P 0.000 0.000 0.000
F 0.500 0.500 0.500

Density functional theory data (PBE) for a geometry-optimized Na3H9Pd4 structure.

Computed properties:
Raw total energy   -3.6617 eV per atom
Space-group type   No. 166

Lattice parameters (Å, degrees): 7.672 7.672 7.672 38.27 38.27 38.27
Sites, in units of the cell vectors:
Na 0.000 0.000 0.000
Na 0.428 0.428 0.428
Na 0.572 0.572 0.572
H 0.000 0.500 0.500
H 0.065 0.065 0.552
H 0.065 0.552 0.065
H 0.448 0.935 0.935
H 0.500 0.000 0.500
H 0.500 0.500 0.000
H 0.552 0.065 0.065
H 0.935 0.448 0.935
H 0.935 0.935 0.448
Pd 0.152 0.152 0.152
Pd 0.284 0.284 0.284
Pd 0.716 0.716 0.716
Pd 0.848 0.848 0.848

Density functional theory data (PBE) for a geometry-optimized K2SbF5 structure.

Computed properties:
Space-group type   No. 63
Formation energy from raw total energies   -2.6592 eV per atom

Lattice parameters (Å, degrees): 7.690 7.690 6.626 90.00 90.00 130.91
Sites, in units of the cell vectors:
K 0.071 0.929 0.750
K 0.253 0.747 0.250
K 0.747 0.253 0.750
K 0.929 0.071 0.250
Sb 0.407 0.593 0.750
Sb 0.593 0.407 0.250
F 0.146 0.385 0.531
F 0.146 0.385 0.969
F 0.265 0.735 0.750
F 0.385 0.146 0.031
F 0.385 0.146 0.469
F 0.615 0.854 0.531
F 0.615 0.854 0.969
F 0.735 0.265 0.250
F 0.854 0.615 0.031
F 0.854 0.615 0.469

Density functional theory data (PBE) for a geometry-optimized TbTmAg4 structure.

Computed properties:
ΔE to the lowest computed polymorph   0.000 eV/f.u.
Space-group type   No. 2
Formation energy   -0.318 eV per atom

Lattice parameters (Å, degrees): 3.702 5.319 7.515 110.67 90.06 110.36
Sites, in units of the cell vectors:
Tb 0.000 0.000 0.000
Tm 0.000 0.000 0.500
Ag 0.331 0.661 0.661
Ag 0.331 0.663 0.170
Ag 0.669 0.337 0.830
Ag 0.669 0.339 0.339

Question: Number 4 is which compound?
Answer: Na3H9Pd4

Question: What is the formula in the sixth record?
Answer: TbTmAg4